(1)
CaSmInGa after structural relaxation. Source: Alexandria, functional PBE.

Lattice parameters (Å, degrees): 7.5132 7.5132 7.5132 90.00 90.00 90.00
Space group F-43m (No. 216)
Symmetry-distinct sites (fractional):
Ca 0.0000 0.0000 0.0000
Sm 0.0000 0.0000 0.5000
In 0.2500 0.2500 0.2500
Ga 0.2500 0.2500 0.7500

Crystal system: cubic
ΔE_f (eV per atom): -0.46
Offset from the most stable computed form (eV/atom): 0.032

***

(2)
CaSmInGa after structural relaxation. Source: Alexandria, functional PBE.

Lattice parameters (Å, degrees): 3.7249 3.7249 7.6219 90.00 90.00 90.00
Space group P4mm (No. 99)
Symmetry-distinct sites (fractional):
Ca 0.0000 0.0000 0.0000
Sm 0.0000 0.0000 0.5302
In 0.5000 0.5000 0.2627
Ga 0.5000 0.5000 0.7623

Crystal system: tetragonal
ΔE_f (eV per atom): -0.49
Offset from the most stable computed form (eV/atom): 0.000

***

(3)
SrCaInGa after structural relaxation. Source: Alexandria, functional PBE.

Lattice parameters (Å, degrees): 7.7725 7.7725 7.7725 90.00 90.00 90.00
Space group F-43m (No. 216)
Symmetry-distinct sites (fractional):
Sr 0.0000 0.0000 0.0000
Ca 0.0000 0.0000 0.5000
In 0.2500 0.2500 0.2500
Ga 0.2500 0.2500 0.7500

Crystal system: cubic
ΔE_f (eV per atom): -0.40